LaPbW2O8 after structural relaxation. Source: Alexandria, functional GGA+U.

```
data_LaPbW2O8
_symmetry_space_group_name_H-M 'P 1'
_symmetry_Int_Tables_number 1
_cell_length_a 5.466
_cell_length_b 5.466
_cell_length_c 9.540
_cell_angle_alpha 90.00
_cell_angle_beta 90.00
_cell_angle_gamma 120.00
loop_
_symmetry_equiv_pos_as_xyz
'x,y,z'
loop_
_atom_site_label
_atom_site_type_symbol
_atom_site_fract_x
_atom_site_fract_y
_atom_site_fract_z
O1 O 0.649 0.681 0.663
W1 W 0.333 0.667 0.734
O2 O 0.319 0.968 0.663
O3 O 0.032 0.351 0.663
La1 La 0.000 0.000 0.500
Pb1 Pb 0.000 0.000 0.000
O4 O 0.968 0.649 0.337
O5 O 0.667 0.333 0.075
O6 O 0.681 0.032 0.337
W2 W 0.667 0.333 0.266
O7 O 0.333 0.667 0.925
O8 O 0.351 0.319 0.337
```

Values from the calculation:
Its crystal system is trigonal. Its total energy is -7.215 eV/atom. For the density of states at the Fermi level, the calculation gives 0.49 states/eV per cell.